No. 1
Computed, not measured: an optimized crystal structure of Ho2TmTc at the PBE-GGA level of DFT.

Cell lengths 3.847, 11.836, 9.099 Å; angles 90.00, 90.00, 90.00 degrees
Space group Cmcm (No. 63)
Symmetry-distinct sites (fractional):
Ho1 0.000 0.143 0.065 (multiplicity 8)
Tm1 0.000 0.428 0.250 (multiplicity 4)
Tc1 0.000 0.239 0.750 (multiplicity 4)

Computed properties:
For the offset from the most stable computed form, the calculation gives 0.7 kJ/mol of formula units. The formation energy is -0.12 eV/atom. The value obtained for the density of states at the Fermi level is 3.30 states/eV/f.u. The total energy comes out at -97.96 eV for the cell shown.

---

No. 2
Computed, not measured: an optimized crystal structure of YCu2Hg2 at the PBE-GGA level of DFT.

Cell lengths 7.822, 7.822, 3.287 Å; angles 90.00, 90.00, 90.00 degrees
Space group P4/mbm (No. 127)
Symmetry-distinct sites (fractional):
Y1 0.000 0.000 0.000 (multiplicity 2)
Cu1 0.171 0.329 0.500 (multiplicity 4)
Hg1 0.131 0.631 0.000 (multiplicity 4)

Computed properties:
For the offset from the most stable computed form, the calculation gives 82.4 kJ/mol of formula units. The formation energy is 0.05 eV/atom. The value obtained for the density of states at the Fermi level is 3.06 states/eV/f.u. The total energy comes out at -30.00 eV for the cell shown.